A relaxed AcCeBr2 crystal, computed with PBE.

Results
Energy in eV/atom: -4.45
Formation energy (no corrections) in meV/atom: -1106.7

Cell lengths 3.8409, 3.8409, 28.2592 Å; angles 90.00, 90.00, 120.00 degrees
Space group R-3m (No. 166, hexagonal axes)
Unique sites:
Ac1 0.0000 0.0000 0.0000 [3 per cell]
Ce1 0.0000 0.0000 0.5000 [3 per cell]
Br1 0.0000 0.0000 0.2453 [6 per cell]


A relaxed NaFeP crystal, computed with PBE.

Results
Energy in eV/atom: -5.30
ΔH_f (0 K) in eV/atom: -0.241

Cell lengths 2.847, 4.076, 9.997 Å; angles 80.54, 82.49, 69.61 degrees
Space group P-1 (No. 2)
Unique sites:
Na1 0.196 0.292 0.342 [2 per cell]
Fe1 0.156 0.758 0.925 [2 per cell]
P1 0.449 0.207 0.885 [2 per cell]


A relaxed ScCo2Ni2 crystal, computed with PBE.

Results
Energy in eV/atom: -6.50
Energy relative to the lowest polymorph listed for this composition in meV per atom: 2.1
ΔH_f (0 K) in eV/atom: -0.076

Cell lengths 3.647, 3.647, 10.226 Å; angles 90.00, 90.00, 90.00 degrees
Space group I4/mmm (No. 139)
Unique sites:
Sc1 0.000 0.000 0.000 [2 per cell]
Co1 0.000 0.000 0.395 [4 per cell]
Ni1 0.000 0.500 0.250 [4 per cell]


A relaxed SrTl2V2S7 crystal, computed with PBE.

Results
Energy in eV/atom: -5.28
Formation energy (no corrections) in meV/atom: -821.3

Cell lengths 6.6369, 6.6369, 28.6246 Å; angles 90.00, 90.00, 120.00 degrees
Space group R32 (No. 155, hexagonal axes)
Unique sites:
Sr1 0.0000 0.0000 0.0000 [3 per cell]
Tl1 0.0000 0.0000 0.1994 [6 per cell]
V1 0.0000 0.0000 0.4223 [6 per cell]
S1 0.0000 0.0000 0.5000 [3 per cell]
S2 0.0120 0.3107 0.3986 [18 per cell]


A relaxed GdSi2 crystal, computed with PBE.

Results
Energy in eV/atom: -8.88
Formation energy (no corrections) in meV/atom: -567.9

Cell lengths 4.0805, 4.0805, 4.0440 Å; angles 90.00, 90.00, 120.00 degrees
Space group P6/mmm (No. 191)
Unique sites:
Gd1 0.0000 0.0000 0.0000 [1 per cell]
Si1 0.3333 0.6667 0.5000 [2 per cell]


A relaxed Pm2Al2Ge3 crystal, computed with PBE.

Results
Energy in eV/atom: -4.98
Energy relative to the lowest polymorph listed for this composition in meV per atom: 0.0
ΔH_f (0 K) in eV/atom: -0.575

Cell lengths 15.582, 4.246, 11.901 Å; angles 90.00, 126.82, 90.00 degrees
Space group C2/m (No. 12)
Unique sites:
Pm1 0.098 0.000 0.442 [4 per cell]
Pm2 0.233 0.000 0.840 [4 per cell]
Al1 0.050 0.500 0.811 [4 per cell]
Al2 0.095 0.000 0.160 [4 per cell]
Ge1 0.088 0.500 0.623 [4 per cell]
Ge2 0.111 0.000 0.959 [4 per cell]
Ge3 0.163 0.500 0.314 [4 per cell]


A relaxed NbSiAs2Au crystal, computed with PBE.

Results
Energy in eV/atom: -4.80
Formation energy (no corrections) in meV/atom: 810.2

Cell lengths 4.674, 4.674, 4.821 Å; angles 90.00, 90.00, 90.00 degrees
Space group P4/mmm (No. 123)
Unique sites:
Nb1 0.000 0.000 0.000 [1 per cell]
Si1 0.000 0.000 0.500 [1 per cell]
As1 0.000 0.500 0.500 [2 per cell]
Au1 0.500 0.500 0.000 [1 per cell]


A relaxed Sc2NbZn crystal, computed with PBE.

Results
Energy in eV/atom: -5.63
ΔH_f (0 K) in eV/atom: 0.371

Cell lengths 4.054, 4.054, 19.642 Å; angles 90.00, 90.00, 90.00 degrees
Space group I-42d (No. 122)
Unique sites:
Sc1 0.250 0.250 0.125 [8 per cell]
Nb1 0.000 0.000 0.000 [4 per cell]
Zn1 0.000 0.000 0.500 [4 per cell]